Version i
The following is a GGA-PBE calculation of an optimized crystal structure of Ni2W11, from the Open Quantum Materials Database.

Structure (POSCAR):
```
Ni2W11
1.0
-3.027 8.174 3.783
1.846 7.577 5.428
0.925 9.432 0.682
W Ni
11 2
Direct
0.087 0.087 0.584
0.584 0.087 0.087
0.167 0.167 0.167
0.087 0.584 0.087
0.913 0.416 0.913
0.652 0.652 0.652
0.416 0.913 0.913
0.833 0.833 0.833
0.000 0.000 0.000
0.348 0.348 0.348
0.913 0.913 0.416
0.548 0.548 0.548
0.452 0.452 0.452
```



Version ii
The following is a GGA-PBE calculation of an optimized crystal structure of Ni2W11, from the Open Quantum Materials Database.

Structure (POSCAR):
```
Ni2W11
1.0
2.587 1.494 9.230
-2.587 1.494 9.230
0.000 -2.987 9.230
W Ni
11 2
Direct
0.413 0.909 0.909
0.168 0.168 0.168
0.832 0.832 0.832
0.587 0.091 0.091
0.909 0.909 0.413
0.909 0.413 0.909
0.091 0.091 0.587
0.455 0.455 0.455
0.091 0.587 0.091
0.545 0.545 0.545
0.000 0.000 0.000
0.347 0.347 0.347
0.653 0.653 0.653
```



Version iii
The following is a GGA-PBE calculation of an optimized crystal structure of Ni2W11, from the Open Quantum Materials Database.

Structure (POSCAR):
```
Ni2W11
1.0
4.266 -8.437 0.288
5.591 -6.303 -4.299
8.099 -4.886 0.066
W Ni
11 2
Direct
0.000 0.000 0.000
0.912 0.912 0.417
0.417 0.912 0.912
0.088 0.088 0.583
0.649 0.649 0.649
0.583 0.088 0.088
0.912 0.417 0.912
0.088 0.583 0.088
0.549 0.549 0.549
0.451 0.451 0.451
0.351 0.351 0.351
0.834 0.834 0.834
0.166 0.166 0.166
```



version i is preferred energetically. Next in line: 0.086 eV/atom higher.